No. 1
A geometry-optimized Tb5Pr2 structure, computed with GGA-PBE.

Calculated values
The calculation puts the total magnetic moment at 0.0 μB per cell. The energy above the most stable polymorph in this dataset is 0.116 eV per atom. The density of states at the Fermi level is 15.6 states/eV/cell. The value obtained for the formation energy is 0.14 eV/atom. The value obtained for the electronic total energy is -31.7 eV per cell.

Cell and atoms, written as CIF:
```
data_Tb5Pr2
_chemical_formula_sum 'Tb5 Pr2'
_space_group_name_H-M_alt 'P 1'
_space_group_IT_number 1
_space_group_name_Hall 'P 1'
_cell_length_a 5.717
_cell_length_b 5.717
_cell_length_c 8.901
_cell_angle_alpha 71.27
_cell_angle_beta 71.27
_cell_angle_gamma 60.00
loop_
_atom_site_label
_atom_site_type_symbol
_atom_site_fract_x
_atom_site_fract_y
_atom_site_fract_z
_atom_site_occupancy
Tb1 Tb 0.085 0.085 0.745 1
Tb2 Tb 0.776 0.776 0.672 1
Tb3 Tb 0.500 0.500 0.500 1
Tb4 Tb 0.224 0.224 0.328 1
Tb5 Tb 0.915 0.915 0.255 1
Pr1 Pr 0.636 0.636 0.092 1
Pr2 Pr 0.364 0.364 0.908 1
```

No. 2
A geometry-optimized TbPr structure, computed with GGA-PBE.

Calculated values
The calculation puts the total magnetic moment at 0.0 μB per cell. The energy above the most stable polymorph in this dataset is 0.102 eV per atom. The density of states at the Fermi level is 4.5 states/eV/cell. The value obtained for the formation energy is 0.12 eV/atom. The value obtained for the electronic total energy is -9.2 eV per cell.

Cell and atoms, written as CIF:
```
data_TbPr
_chemical_formula_sum 'Tb1 Pr1'
_space_group_name_H-M_alt 'P 1'
_space_group_IT_number 1
_space_group_name_Hall 'P 1'
_cell_length_a 4.095
_cell_length_b 4.095
_cell_length_c 4.095
_cell_angle_alpha 90.00
_cell_angle_beta 90.00
_cell_angle_gamma 90.00
loop_
_atom_site_label
_atom_site_type_symbol
_atom_site_fract_x
_atom_site_fract_y
_atom_site_fract_z
_atom_site_occupancy
Pr1 Pr 0.500 0.500 0.500 1
Tb1 Tb 0.000 0.000 0.000 1
```

> Among the records above, which one has the lowest electronic total energy?

Tb5Pr2